[1]
Entry from OQMD: crystalline TlHg3PbS4 at its relaxed geometry (PBE).

Output
The calculation puts the calculated volume at 294.1 Å³ per cell. The value obtained for the raw total energy is -2.591 eV/atom.

Cell lengths 6.650, 6.650, 6.650 Å; angles 90.00, 90.00, 90.00 degrees
Positions (direct):
Hg 0.500 0.500 0.000
Hg 0.500 0.000 0.500
Hg 0.000 0.500 0.500
Pb 0.500 0.500 0.500
S 0.261 0.261 0.261
S 0.739 0.739 0.261
S 0.739 0.261 0.739
S 0.261 0.739 0.739
Tl 0.000 0.000 0.000

[2]
Entry from OQMD: crystalline ZnHgPbS3 at its relaxed geometry (PBE).

Output
As for the polymorph energy (0 for the lowest one): 0 meV per atom. The calculation puts the calculated volume at 282.4 Å³ per cell. The value obtained for the raw total energy is -3.275 eV/atom.

Cell lengths 3.877, 6.791, 11.193 Å; angles 90.00, 90.00, 73.41 degrees
Positions (direct):
Hg 0.000 0.000 0.000
Hg 0.000 0.000 0.500
Pb 0.233 0.534 0.250
Pb 0.767 0.466 0.750
S 0.626 0.747 0.084
S 0.908 0.184 0.250
S 0.626 0.747 0.416
S 0.374 0.253 0.584
S 0.092 0.816 0.750
S 0.374 0.253 0.916
Zn 0.514 0.971 0.250
Zn 0.486 0.029 0.750

[3]
Entry from OQMD: crystalline ZnHgPbS3 at its relaxed geometry (PBE).

Output
As for the polymorph energy (0 for the lowest one): 37 meV per atom. The calculation puts the calculated volume at 299.2 Å³ per cell. The value obtained for the raw total energy is -3.237 eV/atom.

Cell lengths 3.820, 7.817, 10.335 Å; angles 90.00, 90.00, 75.86 degrees
Positions (direct):
Hg 0.632 0.737 0.250
Hg 0.368 0.263 0.750
Pb 0.330 0.340 0.250
Pb 0.670 0.660 0.750
S 0.610 0.780 0.023
S 0.953 0.093 0.250
S 0.610 0.780 0.477
S 0.390 0.220 0.523
S 0.047 0.907 0.750
S 0.390 0.220 0.977
Zn 0.000 0.000 0.000
Zn 0.000 0.000 0.500

[4]
Entry from OQMD: crystalline HgSbPb2 at its relaxed geometry (PBE).

Output
The calculation puts the calculated volume at 114.3 Å³ per cell. The value obtained for the raw total energy is -2.857 eV/atom.

Cell lengths 5.447, 5.447, 5.447 Å; angles 60.00, 60.00, 60.00 degrees
Positions (direct):
Hg 0.500 0.500 0.500
Pb 0.000 0.000 0.000
Pb 0.750 0.750 0.750
Sb 0.250 0.250 0.250